(1)
Material: B3SbP
Method: DFT, PBE-GGA
State: optimized geometry

Cell and atoms, written as POSCAR:
```
B3SbP
1.0
-2.194 3.350 -0.076
-1.826 -1.271 -3.331
-2.810 -1.790 2.223
Sb B P
1 3 1
direct
0.500 0.500 0.500
0.000 0.500 0.000
0.000 0.000 0.500
0.500 0.000 0.000
0.000 0.000 0.000
```

## Properties
E = -22.9 eV per cell
mass density = 4.78 g/cm3
space group = Pm-3m, No. 221
magnetization = 0.000 μB per cell
volume = 12.9 Å³ per atom
E_form (uncorrected) = 1.3246 eV per atom
distance to the lowest polymorph of the same formula = 0 kJ/mol of formula units

=====

(2)
Material: CsTl2SnRh
Method: DFT, PBE-GGA
State: optimized geometry

Cell and atoms, written as POSCAR:
```
CsTl2SnRh
1.0
5.460 0.000 0.000
0.000 5.460 0.000
0.000 0.000 5.285
Cs Tl Rh Sn
1 2 1 1
direct
0.500 0.500 0.500
0.000 0.500 0.000
0.500 0.000 0.000
0.000 0.000 0.000
0.000 0.000 0.500
```

## Properties
ΔH_f (0 K) = -0.3 eV per formula unit
E = -17.2 eV per cell
mass density = 8.05 g/cm3
space group = P4/mmm, No. 123
magnetization = 0.000 μB per cell
volume = 31.5 Å³ per atom

=====

(3)
Material: BaCaAs2Pd5
Method: DFT, PBE-GGA
State: optimized geometry

Cell and atoms, written as POSCAR:
```
BaCaAs2Pd5
1.0
4.675 0.000 0.000
0.000 4.675 0.000
0.000 0.000 8.463
Ba Ca As Pd
1 1 2 5
direct
0.000 0.000 0.500
0.000 0.000 0.000
0.500 0.500 0.162
0.500 0.500 0.838
0.000 0.500 0.254
0.500 0.000 0.254
0.000 0.500 0.746
0.500 0.000 0.746
0.500 0.500 0.500
```

## Properties
ΔH_f (0 K) = -5.3 eV per formula unit
E = -44.5 eV per cell
mass density = 7.72 g/cm3
space group = P4/mmm, No. 123
magnetization = 0.000 μB per cell
volume = 20.5 Å³ per atom

=====

- Which formula does entry 3 have?
  BaCaAs2Pd5

=====

- The lowest volume belongs to which entry?
  B3SbP